No. 1
DFT (GGA-PBE) results for YSiS3 after structural relaxation.

Lattice parameters (Å, degrees): 5.183 5.183 5.183 90.00 90.00 90.00
Atoms (fractional coordinates):
Y: 0.000 0.000 0.000
Si: 0.500 0.500 0.500
S: 0.000 0.000 0.500
S: 0.000 0.500 0.000
S: 0.500 0.000 0.000

Values from the calculation:
**N(E_F)**: 2.970 states/eV per cell
**Uncorrected formation energy**: -0.02 eV per atom
**Polymorph energy (0 for the lowest one)**: 6.396 eV per formula unit

***

No. 2
DFT (GGA-PBE) results for SiIrPb2 after structural relaxation.

Lattice parameters (Å, degrees): 4.581 3.794 5.748 90.00 113.41 90.00
Atoms (fractional coordinates):
Si: 0.000 0.000 0.000
Ir: 0.874 0.500 0.748
Pb: 0.283 0.000 0.568
Pb: 0.586 0.500 0.168

Values from the calculation:
**N(E_F)**: 2.461 states/eV per cell
**Uncorrected formation energy**: 0.09 eV per atom

***

No. 3
DFT (GGA-PBE) results for LiMnRe2 after structural relaxation.

Lattice parameters (Å, degrees): 4.855 4.855 4.855 135.90 135.90 64.14
Atoms (fractional coordinates):
Li: 0.000 0.000 0.000
Mn: 0.500 0.500 0.000
Re: 0.250 0.750 0.500
Re: 0.750 0.250 0.500

Values from the calculation:
**N(E_F)**: 2.903 states/eV per cell
**Energy of formation**: 293 meV per atom
**Polymorph energy (0 for the lowest one)**: 0.463 eV per formula unit

***

Calculated M_tot in order - 0.000, 0.000, 2.522 μB per cell